Record 1
NaCuAsRh | PBE | optimized geometry

- Formation energy: -0.15 eV/atom

Cell: 3.9126 3.9126 10.3019 Å, 90.00 90.00 90.00°
Last column: nearest neighbours and their distance in Å.
Space group P4/nmm (No. 129, origin choice 2)
Inequivalent atoms, fractional coordinates:
1 Na 0.2500 0.2500 0.2258  4 Cu 3.04, 4 As 3.08
2 Cu 0.2500 0.7500 0.0000  4 Cu 2.77, 4 Na 3.04
3 As 0.2500 0.2500 0.6430  4 Rh 2.45
4 Rh 0.2500 0.7500 0.5000  4 As 2.45

Record 2
NaCu2AsS4 | PBE | optimized geometry

Cell: 8.2340 8.2399 9.7274 Å, 90.00 90.00 90.00°
Last column: nearest neighbours and their distance in Å.
Space group Fmm2 (No. 42)
Inequivalent atoms, fractional coordinates:
1 Na 0.0000 0.0000 0.0000  4 S 2.71-2.72
2 Cu 0.2500 0.2500 0.2505  4 S 2.33
3 As 0.0000 0.0000 0.5006  4 S 2.24
4 S 0.0000 0.2156 0.3596  1 As 2.24, 2 Cu 2.33
5 S 0.2158 0.0000 0.6416  1 As 2.24, 2 Cu 2.33

Record 3
NaCuAsS2 | PBE | optimized geometry

Cell: 6.8220 4.0446 7.5693 Å, 90.00 98.88 90.00°
Last column: nearest neighbours and their distance in Å.
Space group P2/c (No. 13)
Inequivalent atoms, fractional coordinates:
1 Na 0.0000 0.1532 0.2500  6 S 2.95-3.02
2 Cu 0.5000 0.0000 0.0000  2 S 2.23
3 As 0.5000 0.4748 0.7500  4 S 2.62-2.64, 4 Cu 2.70-2.84
4 S 0.2447 0.3489 0.9668  1 Cu 2.23

Record 4
NaCuAsS4 | PBE | optimized geometry

Cell: 6.5603 6.5603 8.0491 Å, 90.00 90.00 90.00°
Last column: nearest neighbours and their distance in Å.
Space group I-4 (No. 82)
Inequivalent atoms, fractional coordinates:
1 Na 0.0000 0.0000 0.0000  4 S 2.81
2 Cu 0.0000 0.0000 0.5000  4 S 2.27
3 As 0.0000 0.5000 0.2500  4 S 2.22
4 S 0.1748 0.7391 0.3821  1 As 2.22, 1 Cu 2.27

Record 5
Na2Cu4Sb3As | PBE | optimized geometry

Cell: 4.3397 4.3397 11.0498 Å, 90.00 90.00 90.00°
Last column: nearest neighbours and their distance in Å.
Space group P-4m2 (No. 115)
Inequivalent atoms, fractional coordinates:
1 Na 0.0000 0.5000 0.2422  6 Sb 3.29-3.58, 8 Cu 3.36-3.45, 2 As 3.58
2 Cu 0.0000 0.0000 0.0000  4 Sb 2.64
3 Cu 0.0000 0.5000 0.6330  3 Sb 2.55-2.62, 2 As 2.62
4 Cu 0.5000 0.5000 0.0000  4 Sb 2.64
5 Sb 0.0000 0.5000 0.8641  5 Cu 2.55-2.64
6 Sb 0.5000 0.5000 0.5000  4 Cu 2.62
7 As 0.0000 0.0000 0.5000  4 Cu 2.62

Record 6
Na2Cu4SbAs3 | PBE | optimized geometry

Cell: 4.2131 4.2131 10.6030 Å, 90.00 90.00 90.00°
Last column: nearest neighbours and their distance in Å.
Space group P-4m2 (No. 115)
Inequivalent atoms, fractional coordinates:
1 Na 0.0000 0.5000 0.2267  4 As 3.16, 8 Cu 3.20-3.26
2 Cu 0.0000 0.0000 0.0000  4 As 2.50
3 Cu 0.0000 0.5000 0.6488  3 As 2.37-2.63, 2 Sb 2.63
4 Cu 0.5000 0.5000 0.0000  4 As 2.50
5 Sb 0.0000 0.0000 0.5000  4 Cu 2.63
6 As 0.0000 0.5000 0.8726  5 Cu 2.37-2.50
7 As 0.5000 0.5000 0.5000  4 Cu 2.63

Record 7
NaCuAs2Se4 | PBE | optimized geometry

Cell: 7.9437 10.3945 9.0306 Å, 90.00 90.00 90.00°
Last column: nearest neighbours and their distance in Å.
Space group Fmm2 (No. 42)
Inequivalent atoms, fractional coordinates:
1 Na 0.0000 0.0000 0.0000  6 Se 2.93-3.08
2 Cu 0.0000 0.0000 0.5699  4 Se 2.41-2.45
3 As 0.2500 0.2500 0.2924  4 Se 2.58-2.65
4 Se 0.0000 0.2193 0.4721  1 Cu 2.45, 2 As 2.58
5 Se 0.2406 0.0000 0.7328  1 Cu 2.41, 2 As 2.65

Record 8
NaCuAsSe2 | PBE | optimized geometry

Cell: 7.2299 3.9342 7.9034 Å, 90.00 95.82 90.00°
Last column: nearest neighbours and their distance in Å.
Space group P2/c (No. 13)
Inequivalent atoms, fractional coordinates:
1 Na 0.0000 0.0900 0.2500  6 Se 3.07-3.16
2 Cu 0.5000 0.0000 0.0000  2 Se 2.43
3 As 0.5000 0.4908 0.7500  4 Se 2.73-2.74, 4 Cu 2.76-2.81
4 Se 0.2430 0.4000 0.9778  1 Cu 2.43

| no. | raw total energy (Ry/atom) |
| --- | --- |
| 1 | -0.3314 |
| 2 | -0.3092 |
| 3 | -0.2902 |
| 4 | -0.2998 |
| 5 | -0.2733 |
| 6 | -0.2839 |
| 7 | -0.2818 |
| 8 | -0.2702 |